No. 1
DyTmSi4Os2 | PBE | relaxed

Calculated values
**Uncorrected energy**: -7.370 eV per atom

abc: 4.407 4.080 8.117
angles: 90.00 101.85 90.00
Space group Pm (No. 6)
Unique sites:
Dy: 0.000 0.000 0.000 [1 per cell]
Tm: 0.820 0.500 0.594 [1 per cell]
Si: 0.076 0.500 0.294 [1 per cell]
Si: 0.376 0.000 0.710 [1 per cell]
Si: 0.448 0.500 0.887 [1 per cell]
Si: 0.750 0.000 0.305 [1 per cell]
Os: 0.299 0.000 0.416 [1 per cell]
Os: 0.527 0.500 0.183 [1 per cell]

=====

No. 2
Ba5Nb4O15 | PBE | relaxed

Calculated values
**Uncorrected energy**: -8.010 eV per atom

abc: 5.8206 5.8206 11.8324
angles: 90.00 90.00 120.00
Space group P-3m1 (No. 164)
Unique sites:
Ba: 0.0000 0.0000 0.0000 [1 per cell]
Ba: 0.3333 0.6667 0.4283 [2 per cell]
Ba: 0.3333 0.6667 0.7909 [2 per cell]
Nb: 0.0000 0.0000 0.3185 [2 per cell]
Nb: 0.3333 0.6667 0.1056 [2 per cell]
O: 0.0000 0.5000 0.0000 [3 per cell]
O: 0.1657 0.3313 0.6107 [6 per cell]
O: 0.1681 0.3362 0.1929 [6 per cell]

=====

No. 3
TbHgSbTe3 | PBE | relaxed

Calculated values
**Uncorrected energy**: -3.614 eV per atom

abc: 4.337 15.721 12.368
angles: 90.00 90.00 90.00
Space group Cmcm (No. 63)
Unique sites:
Tb: 0.000 0.000 0.000 [4 per cell]
Hg: 0.000 0.270 0.250 [4 per cell]
Sb: 0.000 0.379 0.750 [4 per cell]
Te: 0.000 0.011 0.750 [4 per cell]
Te: 0.000 0.362 0.504 [8 per cell]

=====

No. 4
BaSrSi2Ni4 | PBE | relaxed

Calculated values
**Uncorrected energy**: -5.049 eV per atom

abc: 4.0403 4.0403 10.7668
angles: 90.00 90.00 120.00
Space group P-6m2 (No. 187)
Unique sites:
Ba: 0.0000 0.0000 0.0000 [1 per cell]
Sr: 0.6667 0.3333 0.5000 [1 per cell]
Si: 0.3333 0.6667 0.2581 [2 per cell]
Ni: 0.0000 0.0000 0.2913 [2 per cell]
Ni: 0.6667 0.3333 0.2230 [2 per cell]

=====

No. 5
HoEr2Bi3 | PBE | relaxed

Calculated values
**Uncorrected energy**: -5.145 eV per atom

abc: 4.437 6.274 13.313
angles: 90.00 90.00 90.00
Space group Immm (No. 71)
Unique sites:
Ho: 0.000 0.000 0.000 [2 per cell]
Er: 0.000 0.000 0.333 [4 per cell]
Bi: 0.000 0.500 0.000 [2 per cell]
Bi: 0.000 0.500 0.333 [4 per cell]

=====

No. 6
HfFeSn2 | PBE | relaxed

Calculated values
**Uncorrected energy**: -6.281 eV per atom

abc: 6.785 6.785 6.785
angles: 90.00 90.00 90.00
Space group F-43m (No. 216)
Unique sites:
Hf: 0.000 0.000 0.000 [4 per cell]
Fe: 0.250 0.250 0.750 [4 per cell]
Sn: 0.000 0.000 0.500 [4 per cell]
Sn: 0.250 0.250 0.250 [4 per cell]

=====

No. 7
BeTlCoAu | PBE | relaxed

Calculated values
**Energy relative to the lowest polymorph listed for this composition**: 0.000 eV per atom
**Uncorrected energy**: -3.696 eV per atom

abc: 6.222 6.222 6.222
angles: 90.00 90.00 90.00
Space group F-43m (No. 216)
Unique sites:
Be: 0.000 0.000 0.000 [4 per cell]
Tl: 0.250 0.250 0.250 [4 per cell]
Co: 0.000 0.000 0.500 [4 per cell]
Au: 0.250 0.250 0.750 [4 per cell]

=====

No. 8
CsCoAgSeS2 | PBE | relaxed

Calculated values
**Uncorrected energy**: -4.021 eV per atom

abc: 3.529 16.428 9.988
angles: 90.00 90.00 90.00
Space group Cmcm (No. 63)
Unique sites:
Cs: 0.000 0.247 0.250 [4 per cell]
Co: 0.000 0.500 0.000 [4 per cell]
Ag: 0.000 0.065 0.750 [4 per cell]
Se: 0.000 0.443 0.750 [4 per cell]
S: 0.000 0.092 0.513 [8 per cell]

=====

No. 9
Na3Fe | PBE | relaxed

Calculated values
**Uncorrected energy**: -2.348 eV per atom

abc: 4.766 4.766 4.766
angles: 90.00 90.00 90.00
Space group Pm-3m (No. 221)
Unique sites:
Na: 0.000 0.000 0.500 [3 per cell]
Fe: 0.500 0.500 0.500 [1 per cell]

=====

No. 10
Sc2Ge2PtAu | PBE | relaxed

Calculated values
**Uncorrected energy**: -6.098 eV per atom

abc: 4.3179 4.3179 6.8204
angles: 90.00 90.00 120.00
Space group P3m1 (No. 156)
Unique sites:
Sc: 0.0000 0.0000 0.0000 [1 per cell]
Sc: 0.0000 0.0000 0.4809 [1 per cell]
Ge: 0.3333 0.6667 0.6884 [1 per cell]
Ge: 0.6667 0.3333 0.2069 [1 per cell]
Pt: 0.3333 0.6667 0.2921 [1 per cell]
Au: 0.6667 0.3333 0.7890 [1 per cell]

=====

No. 11
TmFeNi | PBE | relaxed

Calculated values
**Uncorrected energy**: -5.326 eV per atom
**Energy of formation from the pure elements**: 0.7912 eV per atom

abc: 6.112 6.112 6.112
angles: 90.00 90.00 90.00
Space group F-43m (No. 216)
Unique sites:
Tm: 0.000 0.000 0.000 [4 per cell]
Fe: 0.250 0.250 0.750 [4 per cell]
Ni: 0.250 0.250 0.250 [4 per cell]

=====

No. 12
BeReN2 | PBE | relaxed

Calculated values
**Uncorrected energy**: -8.298 eV per atom

abc: 4.417 4.417 7.999
angles: 90.00 90.00 90.00
Space group I-42d (No. 122)
Unique sites:
Be: 0.000 0.000 0.000 [4 per cell]
Re: 0.000 0.000 0.500 [4 per cell]
N: 0.206 0.750 0.125 [8 per cell]

=====

No. 13
ZrCdAsO | PBE | relaxed

Calculated values
**Energy relative to the lowest polymorph listed for this composition**: 0.000 eV per atom
**Uncorrected energy**: -5.974 eV per atom

abc: 3.704 6.555 6.462
angles: 90.00 90.00 90.00
Space group Pmc2_1 (No. 26)
Unique sites:
Zr: 0.000 0.018 0.000 [2 per cell]
Cd: 0.500 0.412 0.372 [2 per cell]
As: 0.500 0.209 0.741 [2 per cell]
O: 0.000 0.209 0.257 [2 per cell]

=====

No. 14
CsCuSnTe3 | PBE | relaxed

Calculated values
**Energy relative to the lowest polymorph listed for this composition**: 0.000 eV per atom
**Uncorrected energy**: -3.420 eV per atom

abc: 12.930 4.509 14.519
angles: 90.00 90.00 90.00
Space group Pnma (No. 62)
Unique sites:
Cs: 0.218 0.250 0.058 [4 per cell]
Cu: 0.217 0.250 0.345 [4 per cell]
Sn: 0.075 0.250 0.736 [4 per cell]
Te: 0.040 0.250 0.440 [4 per cell]
Te: 0.084 0.750 0.872 [4 per cell]
Te: 0.154 0.750 0.275 [4 per cell]

=====

No. 15
TaZn2Ag | PBE | relaxed

Calculated values
**Uncorrected energy**: -3.968 eV per atom
**Energy of formation from the pure elements**: 0.3336 eV per atom

abc: 6.367 6.367 6.367
angles: 90.00 90.00 90.00
Space group F-43m (No. 216)
Unique sites:
Ta: 0.000 0.000 0.000 [4 per cell]
Zn: 0.000 0.000 0.500 [4 per cell]
Zn: 0.250 0.250 0.750 [4 per cell]
Ag: 0.250 0.250 0.250 [4 per cell]

=====

No. 16
NdHfNO | PBE | relaxed

Calculated values
**Energy relative to the lowest polymorph listed for this composition**: 0.000 eV per atom
**Uncorrected energy**: -8.998 eV per atom

abc: 4.035 6.070 5.532
angles: 90.00 90.00 90.00
Space group Pmc2_1 (No. 26)
Unique sites:
Nd: 0.000 0.192 0.000 [2 per cell]
Hf: 0.500 0.274 0.520 [2 per cell]
N: 0.000 0.195 0.520 [2 per cell]
O: 0.500 0.429 0.852 [2 per cell]

=====

No. 17
ZrNi2Bi | PBE | relaxed

Calculated values
**Uncorrected energy**: -5.871 eV per atom

abc: 6.505 6.505 6.505
angles: 90.00 90.00 90.00
Space group F-43m (No. 216)
Unique sites:
Zr: 0.000 0.000 0.000 [4 per cell]
Ni: 0.000 0.000 0.500 [4 per cell]
Ni: 0.250 0.250 0.750 [4 per cell]
Bi: 0.250 0.250 0.250 [4 per cell]

=====

No. 18
CoTcB4 | PBE | relaxed

Calculated values
**Energy relative to the lowest polymorph listed for this composition**: 0.018 eV per atom
**Uncorrected energy**: -7.360 eV per atom

abc: 2.952 5.285 6.284
angles: 90.00 90.00 90.00
Space group Immm (No. 71)
Unique sites:
Co: 0.000 0.000 0.000 [2 per cell]
Tc: 0.000 0.000 0.500 [2 per cell]
B: 0.000 0.336 0.256 [8 per cell]

=====

No. 19
ZnS6F2 | PBE | relaxed

Calculated values
**Uncorrected energy**: -3.843 eV per atom

abc: 8.497 10.898 3.514
angles: 90.00 90.46 90.00
Space group C2/m (No. 12)
Unique sites:
Zn: 0.000 0.000 0.000 [2 per cell]
S: 0.110 0.348 0.119 [8 per cell]
S: 0.213 0.500 0.854 [4 per cell]
F: 0.000 0.116 0.500 [4 per cell]

=====

No. 20
Cs3PrI6 | PBE | relaxed

Calculated values
**Uncorrected energy**: -3.190 eV per atom

abc: 9.109 9.742 15.546
angles: 90.00 123.85 90.00
Space group P2_1/c (No. 14)
Unique sites:
Cs: 0.000 0.000 0.000 [2 per cell]
Cs: 0.209 0.078 0.741 [4 per cell]
Pr: 0.500 0.000 0.500 [2 per cell]
I: 0.169 0.175 0.448 [4 per cell]
I: 0.262 0.732 0.424 [4 per cell]
I: 0.405 0.055 0.275 [4 per cell]

=====

No. 21
Ho2Ge2O7 | PBE | relaxed

Calculated values
**Energy relative to the lowest polymorph listed for this composition**: 0.030 eV per atom
**Uncorrected energy**: -7.417 eV per atom

abc: 6.765 6.780 12.202
angles: 94.33 92.56 92.47
Space group P-1 (No. 2)
Unique sites:
Ho: 0.042 0.331 0.114 [2 per cell]
Ho: 0.110 0.082 0.359 [2 per cell]
Ho: 0.313 0.830 0.118 [2 per cell]
Ho: 0.370 0.226 0.632 [2 per cell]
Ge: 0.143 0.615 0.378 [2 per cell]
Ge: 0.168 0.146 0.887 [2 per cell]
Ge: 0.392 0.735 0.604 [2 per cell]
Ge: 0.489 0.668 0.837 [2 per cell]
O: 0.000 0.339 0.917 [2 per cell]
O: 0.007 0.022 0.186 [2 per cell]
O: 0.043 0.224 0.579 [2 per cell]
O: 0.068 0.394 0.304 [2 per cell]
O: 0.225 0.919 0.623 [2 per cell]
O: 0.238 0.095 0.021 [2 per cell]
O: 0.292 0.788 0.310 [2 per cell]
O: 0.293 0.721 0.922 [2 per cell]
O: 0.298 0.558 0.492 [2 per cell]
O: 0.337 0.491 0.117 [2 per cell]
O: 0.370 0.211 0.814 [2 per cell]
O: 0.388 0.550 0.702 [2 per cell]
O: 0.396 0.162 0.452 [2 per cell]
O: 0.399 0.130 0.225 [2 per cell]

=====

No. 22
PaGe | PBE | relaxed

Calculated values
**Uncorrected energy**: -6.512 eV per atom

abc: 6.449 6.449 6.449
angles: 90.00 90.00 90.00
Space group F-43m (No. 216)
Unique sites:
Pa: 0.000 0.000 0.000 [4 per cell]
Ge: 0.250 0.250 0.250 [4 per cell]